# 1
Density functional theory data (PBE) for a relaxed Ta2CdP crystal.

## Properties
Uncorrected energy = -7.19 eV per atom
Calculated formation energy = 1.3 eV per formula unit
Space group = I-4m2
Energy relative to the lowest polymorph listed for this composition = 10.53 kcal/mol of atoms

Unit cell a=5.251 b=5.251 c=5.251 alpha=135.81 beta=135.81 gamma=64.28
Positions (direct):
Ta: 0.000 0.000 0.000
Ta: 0.250 0.750 0.500
P: 0.750 0.250 0.500
Cd: 0.500 0.500 0.000



# 2
Density functional theory data (PBE) for a relaxed TaCdP3 crystal.

## Properties
Uncorrected energy = -5.46 eV per atom
Calculated formation energy = 1.7 eV per formula unit
Space group = Pm-3m
Energy relative to the lowest polymorph listed for this composition = 0.00 kcal/mol of atoms

Unit cell a=4.841 b=4.841 c=4.841 alpha=90.00 beta=90.00 gamma=90.00
Positions (direct):
P: 0.500 0.000 0.000
P: 0.000 0.500 0.000
P: 0.000 0.000 0.500
Cd: 0.500 0.500 0.500
Ta: 0.000 0.000 0.000



# 3
Density functional theory data (PBE) for a relaxed Ta2CdP crystal.

## Properties
Uncorrected energy = -7.39 eV per atom
Calculated formation energy = 0.5 eV per formula unit
Space group = R3m
Energy relative to the lowest polymorph listed for this composition = 6.03 kcal/mol of atoms

Unit cell a=8.873 b=8.873 c=8.873 alpha=20.75 beta=20.75 gamma=20.75
Positions (direct):
Ta: 0.007 0.007 0.007
Ta: 0.258 0.258 0.258
Cd: 0.497 0.497 0.497
P: 0.739 0.739 0.739



# 4
Density functional theory data (PBE) for a relaxed Ta2CdP crystal.

## Properties
Uncorrected energy = -7.24 eV per atom
Calculated formation energy = 1.1 eV per formula unit
Space group = C2/m
Energy relative to the lowest polymorph listed for this composition = 9.49 kcal/mol of atoms

Unit cell a=5.690 b=5.191 c=2.916 alpha=80.17 beta=78.39 gamma=119.44
Positions (direct):
Cd: 0.000 0.500 0.500
Ta: 0.500 0.000 0.500
Ta: 0.000 0.000 0.000
P: 0.500 0.500 0.000